(1)
Compound: SrMgSnF
Source: the Alexandria database
Functional: PBE
Structure: relaxed

Results
- formation energy from raw total energies (eV per atom) = -1.6710

Cell: 4.283 4.283 10.737 Å, 90.00 90.00 90.00°
Fractional coordinates of all 8 atoms:
Sr  0.250  0.250  0.126
Sr  0.750  0.750  0.874
Mg  0.250  0.750  0.500
Mg  0.750  0.250  0.500
Sn  0.250  0.250  0.692
Sn  0.750  0.750  0.308
F  0.250  0.750  0.000
F  0.750  0.250  0.000

---

(2)
Compound: CaPm5Zn6
Source: the Alexandria database
Functional: PBE
Structure: relaxed

Results
- E_form (eV/atom) = -0.304

Cell: 8.183 8.183 7.325 Å, 90.00 90.00 143.14°
Fractional coordinates of all 12 atoms:
Ca  0.000  0.000  0.000
Pm  0.000  0.000  0.500
Pm  0.333  0.667  0.500
Pm  0.336  0.664  0.000
Pm  0.664  0.336  0.000
Pm  0.667  0.333  0.500
Zn  0.168  0.832  0.250
Zn  0.168  0.832  0.750
Zn  0.500  0.500  0.253
Zn  0.500  0.500  0.747
Zn  0.832  0.168  0.250
Zn  0.832  0.168  0.750

---

(3)
Compound: BaHo2RuO8
Source: the Alexandria database
Functional: PBE
Structure: relaxed

Results
- formation energy from raw total energies (eV per atom) = -2.1757

Cell: 4.352 5.240 7.226 Å, 88.69 72.66 87.36°
Fractional coordinates of all 12 atoms:
Ba  0.000  0.000  0.000
Ho  0.379  0.528  0.313
Ho  0.621  0.472  0.687
Ru  0.000  0.000  0.500
O  0.162  0.306  0.599
O  0.215  0.765  0.627
O  0.322  0.499  0.009
O  0.356  0.967  0.260
O  0.644  0.033  0.740
O  0.678  0.501  0.991
O  0.785  0.235  0.373
O  0.838  0.694  0.401

---

(4)
Compound: Th2Sn3Hg3
Source: the Alexandria database
Functional: PBE
Structure: relaxed

Results
- E_form (eV/atom) = -0.380

Cell: 4.745 4.776 9.265 Å, 90.00 90.00 90.00°
Fractional coordinates of all 8 atoms:
Th  0.000  0.000  0.245
Th  0.000  0.000  0.755
Sn  0.000  0.500  0.000
Sn  0.500  0.000  0.000
Sn  0.500  0.000  0.500
Hg  0.000  0.500  0.500
Hg  0.500  0.500  0.254
Hg  0.500  0.500  0.746